1.
# CoTcSe2

Crystalline CoTcSe2 at its relaxed geometry (PBE-GGA, Alexandria via LeMat-Bulk).

DOS at the Fermi energy   0.77 states/eV per atom
E_form (uncorrected)   -0.2 eV/f.u.

Unit cell a=3.064 b=3.064 c=7.657 alpha=90.00 beta=90.00 gamma=90.00
Positions (direct):
Co 0.500 0.500 0.750
Se 0.000 0.000 0.881
Se 0.500 0.500 0.346
Tc 0.000 0.000 0.523


2.
# SmNbAl2

Crystalline SmNbAl2 at its relaxed geometry (PBE-GGA, Alexandria via LeMat-Bulk).

DOS at the Fermi energy   0.50 states/eV per atom
Energy of formation from the pure elements   -233 meV/atom

Unit cell a=3.554 b=3.554 c=6.522 alpha=90.00 beta=90.00 gamma=90.00
Positions (direct):
Nb 0.500 0.500 0.000
Al 0.000 0.000 0.803
Al 0.000 0.000 0.197
Sm 0.500 0.500 0.500